TlHg2NF: relaxed, PBE.

**ρ**: 5.66 g/cm³
**Formation energy from raw total energies**: 2.6 eV/f.u.
**Space-group type**: P4/mmm (123)

Unit cell a=6.152 b=4.950 c=6.152 alpha=90.00 beta=90.00 gamma=90.00
Positions (direct):
F (0.000, 0.000, 0.000)
Hg (0.000, 0.000, 0.500)
N (0.500, 0.500, 0.500)
Hg (0.500, 0.000, 0.000)
Tl (0.000, 0.500, 0.000)